Entry 1:
A geometry-optimized Ba2NaCu structure, computed with PBE-GGA.

Space group: P4/mmm (123)
Polymorph energy (0 for the lowest one), meV per atom: 6
D(E_F), states/eV/cell: 2.51

```
Ba2NaCu
1.0
4.025 0.000 0.000
0.000 4.025 0.000
0.000 0.000 9.854
Ba Na Cu
2 1 1
Direct
0.000 0.000 0.191
0.000 0.000 0.809
0.500 0.500 0.500
0.500 0.500 0.000
```



Entry 2:
A geometry-optimized Ba6Na23Cu structure, computed with PBE-GGA.

Space group: Fm-3m (225)
E_tot, hartree per atom: -0.057
D(E_F), states/eV/cell: 17.84

```
Ba6Na23Cu
1.0
0.000 8.523 8.523
8.523 0.000 8.523
8.523 8.523 0.000
Ba Na Cu
6 23 1
Direct
0.193 0.193 0.807
0.193 0.807 0.193
0.193 0.807 0.807
0.807 0.193 0.193
0.807 0.193 0.807
0.807 0.807 0.193
0.000 0.000 0.500
0.000 0.500 0.000
0.000 0.500 0.500
0.147 0.618 0.618
0.172 0.172 0.172
0.172 0.172 0.484
0.172 0.484 0.172
0.382 0.382 0.382
0.382 0.382 0.853
0.382 0.853 0.382
0.484 0.172 0.172
0.500 0.000 0.000
0.500 0.000 0.500
0.500 0.500 0.000
0.500 0.500 0.500
0.516 0.828 0.828
0.618 0.147 0.618
0.618 0.618 0.147
0.618 0.618 0.618
0.828 0.516 0.828
0.828 0.828 0.516
0.828 0.828 0.828
0.853 0.382 0.382
0.000 0.000 0.000
```



Entry 3:
A geometry-optimized Ba2NaCu structure, computed with PBE-GGA.

Space group: I-42d (122)
Polymorph energy (0 for the lowest one), meV per atom: 186
D(E_F), states/eV/cell: 8.26

```
Ba2NaCu
1.0
-4.753 4.753 4.014
4.753 -4.753 4.014
4.753 4.753 -4.014
Ba Na Cu
4 2 2
Direct
0.060 0.625 0.935
0.375 0.310 0.435
0.690 0.125 0.065
0.875 0.940 0.565
0.250 0.750 0.500
0.500 0.500 0.000
0.000 0.000 0.000
0.750 0.250 0.500
```



Entry 4:
A geometry-optimized BaNaCu3 structure, computed with PBE-GGA.

Space group: Pm-3m (221)
Polymorph energy (0 for the lowest one), meV per atom: 0
D(E_F), states/eV/cell: 0.97

```
BaNaCu3
1.0
5.088 0.000 0.000
0.000 5.088 0.000
0.000 0.000 5.088
Ba Na Cu
1 1 3
Direct
0.000 0.000 0.000
0.500 0.500 0.500
0.000 0.500 0.500
0.500 0.000 0.500
0.500 0.500 0.000
```



Entry 5:
A geometry-optimized BaNaCu3 structure, computed with PBE-GGA.

Space group: Pm-3m (221)
Polymorph energy (0 for the lowest one), meV per atom: 410
D(E_F), states/eV/cell: 0.00

```
BaNaCu3
1.0
5.937 0.000 0.000
0.000 5.937 0.000
0.000 0.000 5.937
Ba Na Cu
1 1 3
Direct
0.000 0.000 0.000
0.500 0.500 0.500
0.000 0.000 0.500
0.000 0.500 0.000
0.500 0.000 0.000
```



Entry 6:
A geometry-optimized Ba2NaCu structure, computed with PBE-GGA.

Space group: R3m (160)
Polymorph energy (0 for the lowest one), meV per atom: 41
D(E_F), states/eV/cell: 2.82

```
Ba2NaCu
1.0
2.336 1.349 9.895
-2.336 1.349 9.895
0.000 -2.697 9.895
Ba Na Cu
2 1 1
Direct
0.000 0.000 0.000
0.212 0.212 0.212
0.772 0.772 0.772
0.607 0.607 0.607
```



Entry 7:
A geometry-optimized Ba5Na2Cu2 structure, computed with PBE-GGA.

Space group: Cmce (64)
E_tot, hartree per atom: -0.083
D(E_F), states/eV/cell: 15.54

```
Ba5Na2Cu2
1.0
10.478 -4.358 0.000
10.478 4.358 0.000
0.000 0.000 8.719
Ba Na Cu
10 4 4
Direct
0.000 0.000 0.000
0.068 0.709 0.679
0.209 0.568 0.179
0.291 0.932 0.679
0.432 0.791 0.179
0.500 0.500 0.500
0.568 0.209 0.821
0.709 0.068 0.321
0.791 0.432 0.821
0.932 0.291 0.321
0.228 0.228 0.000
0.272 0.272 0.500
0.728 0.728 0.500
0.772 0.772 0.000
0.103 0.897 0.397
0.397 0.603 0.897
0.603 0.397 0.103
0.897 0.103 0.603
```



Entry 8:
A geometry-optimized Ba2NaCu structure, computed with PBE-GGA.

Space group: Fm-3m (225)
Polymorph energy (0 for the lowest one), meV per atom: 127
D(E_F), states/eV/cell: 6.28

```
Ba2NaCu
1.0
0.000 4.257 4.257
4.257 0.000 4.257
4.257 4.257 0.000
Ba Na Cu
2 1 1
Direct
0.250 0.250 0.250
0.750 0.750 0.750
0.000 0.000 0.000
0.500 0.500 0.500
```



Entry 9:
A geometry-optimized BaNa2Cu structure, computed with PBE-GGA.

Space group: I-42d (122)
Polymorph energy (0 for the lowest one), meV per atom: 0
D(E_F), states/eV/cell: 4.78

```
BaNa2Cu
1.0
-2.337 2.337 12.733
2.337 -2.337 12.733
2.337 2.337 -12.733
Ba Na Cu
2 4 2
Direct
0.000 0.000 0.000
0.750 0.250 0.500
0.163 0.625 0.038
0.375 0.413 0.538
0.587 0.125 0.962
0.875 0.837 0.462
0.250 0.750 0.500
0.500 0.500 0.000
```



Entry 10:
A geometry-optimized Ba3Na2Cu2 structure, computed with PBE-GGA.

Space group: P-1 (2)
E_tot, hartree per atom: -0.086
D(E_F), states/eV/cell: 5.73

```
Ba3Na2Cu2
1.0
4.457 0.000 0.000
-2.197 5.978 0.000
-2.210 -2.176 11.073
Ba Na Cu
3 2 2
Direct
0.000 0.000 0.000
0.095 0.442 0.745
0.905 0.558 0.255
0.314 0.186 0.438
0.686 0.814 0.562
0.303 0.571 0.036
0.697 0.429 0.964
```



Entry 11:
A geometry-optimized Ba3NaCu structure, computed with PBE-GGA.

Space group: P2_1/m (11)
Polymorph energy (0 for the lowest one), meV per atom: 0
D(E_F), states/eV/cell: 10.41

```
Ba3NaCu
1.0
10.470 0.000 0.000
0.000 4.469 0.000
-4.591 0.000 10.183
Ba Na Cu
6 2 2
Direct
0.000 0.250 0.176
0.000 0.750 0.824
0.243 0.750 0.552
0.371 0.750 0.225
0.629 0.250 0.775
0.757 0.250 0.448
0.343 0.250 0.910
0.657 0.750 0.090
0.438 0.250 0.463
0.562 0.750 0.537
```



Entry 12:
A geometry-optimized Ba2Na3Cu2 structure, computed with PBE-GGA.

Space group: Cmmm (65)
E_tot, hartree per atom: -0.085
D(E_F), states/eV/cell: 3.39

```
Ba2Na3Cu2
1.0
2.235 -12.492 0.000
2.235 12.492 0.000
0.000 0.000 4.434
Ba Na Cu
2 3 2
Direct
0.176 0.824 0.000
0.824 0.176 0.000
0.000 0.000 0.000
0.426 0.574 0.500
0.574 0.426 0.500
0.274 0.726 0.500
0.726 0.274 0.500
```



| no. | total magnetization (μB per formula unit) |
| --- | --- |
| 1 | 0.00 |
| 2 | 0.00 |
| 3 | 0.00 |
| 4 | 0.00 |
| 5 | 0.00 |
| 6 | 0.00 |
| 7 | 0.00 |
| 8 | 0.00 |
| 9 | 0.00 |
| 10 | 0.00 |
| 11 | 0.00 |
| 12 | 0.00 |